No. 1
Entry from OQMD via LeMat-Bulk: a relaxed structure of CsZrPt (PBE).

## Properties
crystal system = cubic
excess energy over the best structure of this formula in the dataset = 0.702 eV/atom
magnetic moment = 0.0 Bohr magnetons per cell

Cell: 4.8031 4.8031 4.8031 Å, 60.00 60.00 60.00°
Fractional coordinates of all 3 atoms:
Cs1 0.0000 0.0000 0.0000
Zr1 0.7500 0.7500 0.7500
Pt1 0.2500 0.2500 0.2500

---

No. 2
Entry from OQMD via LeMat-Bulk: a relaxed structure of Dy3Te4 (PBE).

## Properties
crystal system = orthorhombic
magnetic moment = 0.0 Bohr magnetons per cell

Cell: 7.2749 14.9894 4.3517 Å, 90.00 90.00 90.00°
Fractional coordinates of all 14 atoms:
Dy1 0.0000 0.0000 0.0000
Te1 0.7404 0.1646 0.0000
Dy2 0.5101 0.7497 0.5000
Te2 0.2404 0.3354 0.0000
Dy3 0.4899 0.2503 0.5000
Te3 0.2405 0.0843 0.5000
Dy4 0.0101 0.7503 0.5000
Dy5 0.5000 0.5000 0.0000
Te4 0.7595 0.9157 0.5000
Te5 0.7405 0.4157 0.5000
Te6 0.2596 0.8354 0.0000
Dy6 0.9899 0.2497 0.5000
Te7 0.2595 0.5843 0.5000
Te8 0.7596 0.6646 0.0000

---

No. 3
Entry from OQMD via LeMat-Bulk: a relaxed structure of Gd2DyAl2Zn3Cd (PBE).

## Properties
crystal system = orthorhombic
magnetic moment = 0.0 Bohr magnetons per cell

Cell: 4.4730 7.0553 7.0553 Å, 119.84 90.00 90.00°
Fractional coordinates of all 9 atoms:
Gd1 0.0000 0.0005 0.4296
Zn1 0.5000 0.7505 0.9998
Cd1 0.0000 0.9984 0.9984
Zn2 0.5000 0.9998 0.7505
Dy1 0.0000 0.5708 0.5708
Zn3 0.5000 0.2498 0.2498
Gd2 0.0000 0.4296 0.0005
Al1 0.5000 0.6663 0.3343
Al2 0.5000 0.3343 0.6663

---

No. 4
Entry from OQMD via LeMat-Bulk: a relaxed structure of Hg2I3 (PBE).

## Properties
crystal system = trigonal

Cell: 7.7799 7.7799 8.5457 Å, 117.08 62.92 120.00°
Fractional coordinates of all 10 atoms:
Hg1 0.8428 0.1572 0.4716
I1 0.0704 0.5704 0.7500
I2 0.7500 0.9296 0.7500
Hg2 0.6572 0.3428 0.0283
Hg3 0.1572 0.8428 0.5284
Hg4 0.3428 0.6572 0.9716
I3 0.4296 0.2500 0.7500
I4 0.9296 0.4296 0.2500
I5 0.2500 0.0704 0.2500
I6 0.5704 0.7500 0.2500

---

No. 5
Entry from OQMD via LeMat-Bulk: a relaxed structure of DyGaPO (PBE).

## Properties
crystal system = orthorhombic
excess energy over the best structure of this formula in the dataset = 0.123 eV/atom
magnetic moment = 0.0 Bohr magnetons per cell

Cell: 4.5677 5.7852 5.6326 Å, 90.00 90.00 90.00°
Fractional coordinates of all 8 atoms:
Ga1 0.5000 0.3297 0.0104
Ga2 0.5000 0.6703 0.5104
P1 0.0000 0.7626 0.4275
Dy1 0.0000 0.2526 0.4280
Dy2 0.0000 0.7474 0.9280
O1 0.5000 0.3321 0.3880
P2 0.0000 0.2374 0.9275
O2 0.5000 0.6679 0.8880

---

No. 6
Entry from OQMD via LeMat-Bulk: a relaxed structure of NdSmNi4 (PBE).

## Properties
crystal system = hexagonal
excess energy over the best structure of this formula in the dataset = 0.381 eV/atom
magnetic moment = 1.1 Bohr magnetons per cell
ΔE_f = 40 meV/atom

Cell: 5.4264 5.4264 8.1119 Å, 90.00 90.00 120.00°
Fractional coordinates of all 12 atoms:
Ni1 0.0000 0.5000 0.2196
Nd1 0.0000 0.0000 0.5000
Ni2 0.5000 0.0000 0.2196
Sm1 0.3333 0.6667 0.5000
Ni3 0.5000 0.5000 0.7804
Nd2 0.0000 0.0000 0.0000
Ni4 0.5000 0.0000 0.7804
Sm2 0.6667 0.3333 0.5000
Ni5 0.5000 0.5000 0.2196
Ni6 0.3333 0.6667 0.0000
Ni7 0.6667 0.3333 0.0000
Ni8 0.0000 0.5000 0.7804

---

No. 7
Entry from OQMD via LeMat-Bulk: a relaxed structure of LuCdSi (PBE).

## Properties
crystal system = cubic
magnetic moment = 0.0 Bohr magnetons per cell

Cell: 4.5864 4.5864 4.5864 Å, 60.00 60.00 60.00°
Fractional coordinates of all 3 atoms:
Cd1 0.2500 0.2500 0.2500
Lu1 0.7500 0.7500 0.7500
Si1 0.0000 0.0000 0.0000

---

No. 8
Entry from OQMD via LeMat-Bulk: a relaxed structure of LiNbMo2 (PBE).

## Properties
crystal system = cubic
magnetic moment = 0.0 Bohr magnetons per cell

Cell: 4.4571 4.4571 4.4571 Å, 60.00 60.00 60.00°
Fractional coordinates of all 4 atoms:
Li1 0.5000 0.5000 0.5000
Mo1 0.0000 0.0000 0.0000
Mo2 0.7500 0.7500 0.7500
Nb1 0.2500 0.2500 0.2500

---

No. 9
Entry from OQMD via LeMat-Bulk: a relaxed structure of TePd16 (PBE).

## Properties
crystal system = monoclinic
excess energy over the best structure of this formula in the dataset = 0.099 eV/atom

Cell: 11.6405 2.7956 28.7427 Å, 90.00 90.11 90.00°
Fractional coordinates of all 34 atoms:
Pd1 0.1960 0.0000 0.3439
Pd2 0.0287 0.5000 0.3938
Pd3 0.2493 0.5000 0.4269
Pd4 0.4157 0.0000 0.3774
Pd5 0.8588 0.0000 0.7392
Pd6 0.9716 0.0000 0.3126
Pd7 0.8041 0.5000 0.6561
Pd8 0.7507 0.0000 0.5731
Pd9 0.3579 0.5000 0.2941
Pd10 0.0283 0.5000 0.6874
Pd11 0.5843 0.5000 0.6226
Pd12 0.1387 0.5000 0.5574
Pd13 0.8613 0.0000 0.4426
Pd14 0.5848 0.5000 0.3284
Pd15 0.6421 0.0000 0.7059
Te1 0.9228 0.5000 0.2320
Te2 0.0773 0.0000 0.7680
Pd16 0.1412 0.5000 0.2608
Pd17 0.6945 0.5000 0.4914
Pd18 0.6378 0.0000 0.4100
Pd19 0.9167 0.5000 0.5241
Pd20 0.0833 0.0000 0.4759
Pd21 0.1954 0.0000 0.6388
Pd22 0.2522 0.5000 0.7247
Pd23 0.5240 0.0000 0.2490
Pd24 0.3622 0.5000 0.5900
Pd25 0.3055 0.0000 0.5086
Pd26 0.9713 0.0000 0.6062
Pd27 0.4760 0.5000 0.7510
Pd28 0.7478 0.0000 0.2753
Pd29 0.4152 0.0000 0.6716
Pd30 0.4715 0.5000 0.4592
Pd31 0.8045 0.5000 0.3612
Pd32 0.5285 0.0000 0.5408

---

No. 10
Entry from OQMD via LeMat-Bulk: a relaxed structure of PrSmCl3 (PBE).

## Properties
crystal system = monoclinic
magnetic moment = 0.0 Bohr magnetons per cell

Cell: 8.1179 8.1179 10.4890 Å, 117.36 117.36 28.74°
Fractional coordinates of all 10 atoms:
Pr1 0.5912 0.5912 0.4470
Cl1 0.3405 0.3405 0.9947
Cl2 0.2313 0.2313 0.6241
Sm1 0.8595 0.8595 0.2048
Cl3 0.0416 0.0416 0.2295
Sm2 0.1405 0.1405 0.7952
Pr2 0.4088 0.4088 0.5530
Cl4 0.6595 0.6595 0.0053
Cl5 0.7687 0.7687 0.3759
Cl6 0.9584 0.9584 0.7705

---

No. 11
Entry from OQMD via LeMat-Bulk: a relaxed structure of MoPb2 (PBE).

## Properties
crystal system = hexagonal
excess energy over the best structure of this formula in the dataset = 0.000 eV/atom
magnetic moment = 0.0 Bohr magnetons per cell

Cell: 6.4637 6.4637 10.0070 Å, 90.00 90.00 120.00°
Fractional coordinates of all 12 atoms:
Mo1 0.3333 0.6667 0.6459
Pb1 0.0000 0.0000 0.5000
Pb2 0.8256 0.6511 0.7500
Pb3 0.0000 0.0000 0.0000
Pb4 0.3489 0.1744 0.7500
Pb5 0.1744 0.8256 0.2500
Pb6 0.6511 0.8256 0.2500
Mo2 0.3333 0.6667 0.8541
Pb7 0.1744 0.3489 0.2500
Mo3 0.6667 0.3333 0.3541
Pb8 0.8256 0.1744 0.7500
Mo4 0.6667 0.3333 0.1459

---

No. 12
Entry from OQMD via LeMat-Bulk: a relaxed structure of ErMgSb (PBE).

## Properties
crystal system = cubic
excess energy over the best structure of this formula in the dataset = 0.042 eV/atom
magnetic moment = 0.0 Bohr magnetons per cell

Cell: 5.0622 5.0622 5.0622 Å, 60.00 60.00 60.00°
Fractional coordinates of all 3 atoms:
Mg1 0.2500 0.2500 0.2500
Sb1 0.7500 0.7500 0.7500
Er1 0.0000 0.0000 0.0000

---

| no. | E_tot (eV per atom) |
| --- | --- |
| 1 | -3.75 |
| 2 | -5.16 |
| 3 | -3.28 |
| 4 | -1.17 |
| 5 | -5.99 |
| 6 | -5.25 |
| 7 | -3.84 |
| 8 | -8.11 |
| 9 | -4.96 |
| 10 | -4.85 |
| 11 | -5.06 |
| 12 | -3.62 |